# 1
This record from Alexandria describes a geometry-optimized Cs2CdHgI6 structure. The functional is PBE.

For the energy above the most stable polymorph in this dataset, the calculation gives 0 meV per atom. For the spin magnetization, the calculation gives 0.0 μB per cell. For the formation energy (no corrections), the calculation gives -8.73 eV/f.u. The density of states at the Fermi level is 0.00 states/eV per cell.

It has space group P1 (No. 1), with a = 8.703 Å, b = 8.707 Å, c = 10.252 Å, α = 115.06°, β = 90.12° and γ = 119.87°. The inequivalent atoms are Cs at (0.000, 0.000, 0.000), Cs at (0.498, 0.996, 0.493), Cd at (0.773, 0.547, 0.321), Hg at (0.279, 0.557, 0.834), I at (0.035, 0.913, 0.345), I at (0.388, 0.923, 0.850), I at (0.430, 0.467, 0.344), I at (0.535, 0.463, 0.850), I at (0.876, 0.308, 0.343) and I at (0.929, 0.317, 0.850).

***

# 2
This record from Alexandria describes a geometry-optimized CsCdIn2Hg6 structure. The functional is PBE.

For the spin magnetization, the calculation gives 0.0 μB per cell. Its formation energy is -0.04 eV per atom. The density of states at the Fermi level is 12.65 states/eV per cell.

It has space group C2/c (No. 15), with a = 11.671 Å, b = 12.983 Å, c = 8.845 Å, α = 90.00°, β = 90.07° and γ = 90.00°. The inequivalent atoms are Cs at (0.000, 0.015, 0.250), Cd at (0.000, 0.454, 0.750), In at (0.140, 0.350, 0.250), Hg at (0.000, 0.255, 0.526), Hg at (0.203, 0.318, 0.751) and Hg at (0.211, 0.500, 0.001).

***

# 3
This record from Alexandria describes a geometry-optimized Cs2Cd3InHg12 structure. The functional is PBE.

For the spin magnetization, the calculation gives 0.0 μB per cell. Its formation energy is -0.03 eV per atom. The density of states at the Fermi level is 22.46 states/eV per cell.

It has space group R-3m (No. 166, hexagonal axes), with a = 9.1602 Å, b = 9.1602 Å, c = 30.8168 Å, α = 90.00°, β = 90.00° and γ = 120.00°. The inequivalent atoms are Cs at (0.0000, 0.0000, 0.1395), Cd at (0.0000, 0.5000, 0.0000), In at (0.0000, 0.0000, 0.5000), Hg at (0.0809, 0.5405, 0.0975) and Hg at (0.0918, 0.5459, 0.3970).

***

# 4
This record from Alexandria describes a geometry-optimized CsCdIn2Hg4 structure. The functional is PBE.

For the spin magnetization, the calculation gives 0.0 μB per cell. Its formation energy is -0.11 eV per atom. The density of states at the Fermi level is 6.38 states/eV per cell.

It has space group R-3m (No. 166, hexagonal axes), with a = 5.0007 Å, b = 5.0007 Å, c = 35.3993 Å, α = 90.00°, β = 90.00° and γ = 120.00°. The inequivalent atoms are Cs at (0.0000, 0.0000, 0.0000), Cd at (0.0000, 0.0000, 0.5000), In at (0.0000, 0.0000, 0.2316), Hg at (0.0000, 0.0000, 0.1347) and Hg at (0.0000, 0.0000, 0.4031).